[1]
First-principles (PBE) data for a geometry-optimized K2BeCd structure, as listed in the Alexandria database.

Summary:
Polymorph energy (0 for the lowest one) in eV per atom: 0.000
Space group: Cm

```
K2BeCd
1.0
3.808 -2.249 0.000
3.808 2.249 0.000
-2.566 0.000 9.124
K Be Cd
2 1 1
direct
0.000 0.000 0.000 K
0.183 0.183 0.544 K
0.763 0.763 0.272 Be
0.425 0.425 0.272 Cd
```

---

[2]
First-principles (PBE) data for a geometry-optimized K2BeCd structure, as listed in the Alexandria database.

Summary:
Polymorph energy (0 for the lowest one) in eV per atom: 0.264
Space group: C2/m

```
K2BeCd
1.0
3.691 -4.544 0.000
3.691 4.544 0.000
-0.025 0.000 4.236
K Be Cd
2 1 1
direct
0.000 0.500 0.000 K
0.500 0.000 0.000 K
0.000 0.000 0.500 Be
0.500 0.500 0.500 Cd
```

---

[3]
First-principles (PBE) data for a geometry-optimized KBeCd2 structure, as listed in the Alexandria database.

Summary:
Space group: C2/m

```
KBeCd2
1.0
3.242 -5.700 0.000
3.242 5.700 0.000
-1.040 0.000 2.684
K Be Cd
1 1 2
direct
0.000 0.000 0.000 K
0.500 0.500 0.000 Be
0.000 0.500 0.500 Cd
0.500 0.000 0.500 Cd
```

---

[4]
First-principles (PBE) data for a geometry-optimized KBe3Cd structure, as listed in the Alexandria database.

Summary:
Polymorph energy (0 for the lowest one) in eV per atom: 0.000
Space group: Pm-3m

```
KBe3Cd
1.0
4.672 0.000 0.000
0.000 4.672 0.000
0.000 0.000 4.672
K Be Cd
1 3 1
direct
0.000 0.000 0.000 K
0.000 0.500 0.500 Be
0.500 0.000 0.500 Be
0.500 0.500 0.000 Be
0.500 0.500 0.500 Cd
```

---

[5]
First-principles (PBE) data for a geometry-optimized K2BeCd structure, as listed in the Alexandria database.

Summary:
Polymorph energy (0 for the lowest one) in eV per atom: 0.057
Space group: I-42d

```
K2BeCd
1.0
-6.198 6.198 2.365
6.198 -6.198 2.365
6.198 6.198 -2.365
K Be Cd
4 2 2
direct
0.375 0.199 0.324 K
0.801 0.125 0.176 K
0.875 0.051 0.676 K
0.949 0.625 0.824 K
0.000 0.000 0.000 Be
0.750 0.250 0.500 Be
0.250 0.750 0.500 Cd
0.500 0.500 0.000 Cd
```

---

[6]
First-principles (PBE) data for a geometry-optimized K3BeCd structure, as listed in the Alexandria database.

Summary:
Polymorph energy (0 for the lowest one) in eV per atom: 0.000
Space group: Pm-3m

```
K3BeCd
1.0
6.337 0.000 0.000
0.000 6.337 0.000
0.000 0.000 6.337
K Be Cd
3 1 1
direct
0.000 0.000 0.500 K
0.000 0.500 0.000 K
0.500 0.000 0.000 K
0.000 0.000 0.000 Be
0.500 0.500 0.500 Cd
```

---

[7]
First-principles (PBE) data for a geometry-optimized K2BeCd structure, as listed in the Alexandria database.

Summary:
Polymorph energy (0 for the lowest one) in eV per atom: 0.042
Space group: Imm2

```
K2BeCd
1.0
-2.345 3.116 5.043
2.345 -3.116 5.043
2.345 3.116 -5.043
K Be Cd
2 1 1
direct
0.000 0.000 0.000 K
0.681 0.181 0.500 K
0.352 0.352 0.000 Be
0.311 0.811 0.500 Cd
```

---

[8]
First-principles (PBE) data for a geometry-optimized K4BeCd structure, as listed in the Alexandria database.

Summary:
Space group: F-43m

```
K4BeCd
1.0
0.000 5.351 5.351
5.351 0.000 5.351
5.351 5.351 0.000
K Be Cd
4 1 1
direct
0.125 0.125 0.125 K
0.125 0.125 0.626 K
0.125 0.626 0.125 K
0.626 0.125 0.125 K
0.750 0.750 0.750 Be
0.500 0.500 0.500 Cd
```

---

[9]
First-principles (PBE) data for a geometry-optimized K2BeCd2 structure, as listed in the Alexandria database.

Summary:
Space group: P4/mbm

```
K2BeCd2
1.0
7.008 0.000 0.000
0.000 7.008 0.000
0.000 0.000 6.065
K Be Cd
4 2 4
direct
0.173 0.327 0.000 K
0.327 0.827 0.000 K
0.673 0.173 0.000 K
0.827 0.673 0.000 K
0.000 0.000 0.500 Be
0.500 0.500 0.500 Be
0.178 0.678 0.500 Cd
0.322 0.178 0.500 Cd
0.678 0.822 0.500 Cd
0.822 0.322 0.500 Cd
```

---

[10]
First-principles (PBE) data for a geometry-optimized KBeCd2 structure, as listed in the Alexandria database.

Summary:
Space group: Cmmm

```
KBeCd2
1.0
3.270 -5.344 0.000
3.270 5.344 0.000
0.000 0.000 2.846
K Be Cd
1 1 2
direct
0.000 0.000 0.000 K
0.500 0.500 0.000 Be
0.000 0.500 0.500 Cd
0.500 0.000 0.500 Cd
```

---

[11]
First-principles (PBE) data for a geometry-optimized K2BeCd structure, as listed in the Alexandria database.

Summary:
Polymorph energy (0 for the lowest one) in eV per atom: 0.361
Space group: R-3m

```
K2BeCd
1.0
2.053 1.185 10.727
-2.053 1.185 10.727
0.000 -2.370 10.727
K Be Cd
2 1 1
direct
0.241 0.241 0.241 K
0.759 0.759 0.759 K
0.500 0.500 0.500 Be
0.000 0.000 0.000 Cd
```

---

[12]
First-principles (PBE) data for a geometry-optimized K2BeCd structure, as listed in the Alexandria database.

Summary:
Polymorph energy (0 for the lowest one) in eV per atom: 0.252
Space group: P4/mmm

```
K2BeCd
1.0
4.101 0.000 0.000
0.000 4.101 0.000
0.000 0.000 8.568
K Be Cd
2 1 1
direct
0.000 0.000 0.228 K
0.000 0.000 0.772 K
0.500 0.500 0.000 Be
0.500 0.500 0.500 Cd
```

---

[13]
First-principles (PBE) data for a geometry-optimized KBeCd2 structure, as listed in the Alexandria database.

Summary:
Space group: Pm

```
KBeCd2
1.0
4.768 0.000 0.000
0.000 4.722 0.000
-0.037 0.000 5.680
K Be Cd
1 1 2
direct
0.000 0.000 0.000 K
0.379 0.500 0.500 Be
0.463 0.000 0.501 Cd
0.882 0.500 0.500 Cd
```

---

[14]
First-principles (PBE) data for a geometry-optimized KBeCd2 structure, as listed in the Alexandria database.

Summary:
Space group: Immm

```
KBeCd2
1.0
-1.452 2.928 5.601
1.452 -2.928 5.601
1.452 2.928 -5.601
K Be Cd
1 1 2
direct
0.000 0.000 0.000 K
0.500 0.500 0.000 Be
0.312 0.812 0.500 Cd
0.688 0.188 0.500 Cd
```

---

Number 1: magnetization 0.00 μB/atom, final energy -1.370 eV/atom. Number 2: magnetization 0.00 μB/atom, final energy -1.106 eV/atom. Number 3: magnetization 0.00 μB/atom, final energy -1.056 eV/atom. Number 4: magnetization 0.00 μB/atom, final energy -1.715 eV/atom. Number 5: magnetization 0.00 μB/atom, final energy -1.314 eV/atom. Number 6: magnetization 0.00 μB/atom, final energy -1.023 eV/atom. Number 7: magnetization 0.00 μB/atom, final energy -1.329 eV/atom. Number 8: magnetization 0.00 μB/atom, final energy -0.823 eV/atom. Number 9: magnetization 0.00 μB/atom, final energy -1.256 eV/atom. Number 10: magnetization 0.00 μB/atom, final energy -1.041 eV/atom. Number 11: magnetization 0.03 μB/atom, final energy -1.009 eV/atom. Number 12: magnetization 0.00 μB/atom, final energy -1.118 eV/atom. Number 13: magnetization 0.00 μB/atom, final energy -1.391 eV/atom. Number 14: magnetization 0.00 μB/atom, final energy -1.283 eV/atom.